Crystalline CrCd2F at its relaxed geometry, computed with GGA+U.

## Properties
- relative energy among the computed polymorphs (meV/atom) = 194
- DFT total energy (eV per atom) = -3.0995
- density of states at the Fermi level (states/eV per atom) = 0.306

```
CrCd2F
1.0
0.497 -3.713 3.021
-3.850 -1.793 2.263
-1.703 -4.334 -1.214
Cr Cd F
1 2 1
direct
0.500 0.500 0.500
0.250 0.250 0.250
0.750 0.750 0.750
0.000 0.000 0.000
```